No. 1
Cs3Ge2Br7: relaxed, PBE-GGA.

Its size of the total moment is 0.000 μB per formula unit. As for the energy relative to the lowest polymorph listed for this composition: 0.000 eV per atom. Its uncorrected formation energy is -1.22 eV per atom.

The structure belongs to space group I4/mmm (No. 139); the cell edges are 5.615, 5.615 and 29.299 Å and the angles 90.00°, 90.00° and 90.00°. The distinct sites, in fractional coordinates, are Cs at (0.000, 0.000, 0.000), Cs at (0.000, 0.000, 0.181), Ge at (0.000, 0.000, 0.402), Br at (0.000, 0.000, 0.307), Br at (0.000, 0.000, 0.500) and Br at (0.000, 0.500, 0.096).



No. 2
CsGe3Br: relaxed, PBE-GGA.

Its size of the total moment is 1.285 μB per formula unit. As for the energy relative to the lowest polymorph listed for this composition: 1.007 eV per atom. Its uncorrected formation energy is 1.68 eV per atom.

The structure belongs to space group Pm-3m (No. 221); the cell edges are 5.980, 5.980 and 5.980 Å and the angles 90.00°, 90.00° and 90.00°. The distinct sites, in fractional coordinates, are Cs at (0.000, 0.000, 0.000), Ge at (0.000, 0.000, 0.500) and Br at (0.500, 0.500, 0.500).



No. 3
Cs2Ge2Br5: relaxed, PBE-GGA.

Its size of the total moment is 0.000 μB per formula unit. As for the energy relative to the lowest polymorph listed for this composition: 0.067 eV per atom. Its uncorrected formation energy is -0.92 eV per atom.

The structure belongs to space group C2/m (No. 12); the cell edges are 16.319, 6.155 and 8.153 Å and the angles 90.00°, 113.70° and 90.00°. The distinct sites, in fractional coordinates, are Cs at (0.099, 0.000, 0.302), Ge at (0.160, 0.500, 0.895), Br at (0.000, 0.500, 0.000), Br at (0.157, 0.500, 0.575) and Br at (0.161, 0.000, 0.906).



Which of these has the highest energy relative to the lowest polymorph listed for this composition? CsGe3Br